Entry 1:
Density functional theory data (PBE) for an optimized crystal structure of La2TbSm.

Values from the calculation:
formation energy from the elements	0.103	eV/atom

Lattice parameters (Å, degrees): 5.847 5.847 5.847 60.00 60.00 60.00
Fractional positions:
La: 0.250 0.250 0.250
La: 0.750 0.750 0.750
Tb: 0.000 0.000 0.000
Sm: 0.500 0.500 0.500

Entry 2:
Density functional theory data (PBE) for an optimized crystal structure of CaSm2Bi.

Values from the calculation:
formation energy from the elements	0.055	eV/atom

Lattice parameters (Å, degrees): 12.752 12.752 12.752 16.30 16.30 16.30
Fractional positions:
Ca: 0.000 0.000 0.000
Sm: 0.416 0.416 0.416
Sm: 0.584 0.584 0.584
Bi: 0.500 0.500 0.500

Entry 3:
Density functional theory data (PBE) for an optimized crystal structure of YRe2Sb2.

Lattice parameters (Å, degrees): 7.766 7.766 3.340 90.00 90.00 90.00
Fractional positions:
Y: 0.000 0.000 0.000
Y: 0.500 0.500 0.000
Re: 0.127 0.373 0.000
Re: 0.373 0.873 0.000
Re: 0.627 0.127 0.000
Re: 0.873 0.627 0.000
Sb: 0.167 0.667 0.500
Sb: 0.333 0.167 0.500
Sb: 0.667 0.833 0.500
Sb: 0.833 0.333 0.500

no.,magnetization (μB per atom),distance to the lowest polymorph of the same formula (meV per atom),DFT total energy (eV per atom)
1,0.000,93,-4.698
2,0.000,429,-3.775
3,0.000,268,-7.600